## Ba2GaAgSe5 (GGA-PBE)

Data for a geometry-optimized Ba2GaAgSe5 structure.

a = 4.3382 Å, b = 21.7483 Å, c = 11.1198 Å
α = 90.00°, β = 90.00°, γ = 90.00°
Closest atoms and distances in Å follow each position.
Space group Cmc2_1 (No. 36)
Asymmetric unit:
Ba 0.0000 0.0537 0.0000 [4 per cell]  8 Se 3.22-3.45
Ba 0.0000 0.1787 0.3750 [4 per cell]  8 Se 3.38-3.70
Ga 0.0000 0.4052 0.1184 [4 per cell]  4 Se 2.40-2.58
Ag 0.0000 0.1833 0.7809 [4 per cell]  5 Se 2.78-2.97
Se 0.0000 0.0515 0.7105 [4 per cell]  2 Ga 2.58
Se 0.0000 0.2941 0.1307 [4 per cell]  1 Ga 2.42
Se 0.0000 0.3299 0.4451 [4 per cell]  1 Se 2.49
Se 0.0000 0.3657 0.6576 [4 per cell]  1 Se 2.49
Se 0.0000 0.4390 0.9127 [4 per cell]  1 Ga 2.40

Properties
For the density of states at the Fermi level, the calculation gives 2.75 states/eV per cell. Its formation energy from raw total energies is -1.059 eV per atom.

---

## Dy4ZrHg3 (GGA-PBE)

Data for a geometry-optimized Dy4ZrHg3 structure.

a = 3.5799 Å, b = 3.5799 Å, c = 16.3195 Å
α = 90.00°, β = 90.00°, γ = 90.00°
Closest atoms and distances in Å follow each position.
Space group P4/mmm (No. 123)
Asymmetric unit:
Dy 0.0000 0.0000 0.1198 [2 per cell]  8 Hg 3.20-3.22, 4 Dy 3.58
Dy 0.0000 0.0000 0.3651 [2 per cell]  4 Hg 3.23, 4 Zr 3.36, 4 Dy 3.58
Zr 0.5000 0.5000 0.5000 [1 per cell]  8 Dy 3.36, 4 Zr 3.58
Hg 0.5000 0.5000 0.0000 [1 per cell]  8 Dy 3.20, 4 Hg 3.58
Hg 0.5000 0.5000 0.2417 [2 per cell]  8 Dy 3.22-3.23, 4 Hg 3.58

Properties
For the density of states at the Fermi level, the calculation gives 8.97 states/eV per cell. For the formation energy, the calculation gives -249 kJ/mol of formula units.